[1]
# PBE Ba4Ag3Pt, optimized geometry
# Total magnetization in μB/cell: 0.0
# Mass density in kg/m³: 6289
# Uncorrected energy in eV for the cell shown: -25.4
data_Ba4Ag3Pt
_space_group_name_H-M_alt 'P m m 2'
_space_group_IT_number 25
_space_group_name_Hall 'P 2 -2'
_cell_length_a 4.612
_cell_length_b 4.930
_cell_length_c 12.401
_cell_angle_alpha 90.00
_cell_angle_beta 90.00
_cell_angle_gamma 90.00
loop_
_atom_site_label
_atom_site_fract_x
_atom_site_fract_y
_atom_site_fract_z
Ba1 0.000 0.000 0.000
Ba2 0.000 0.500 0.258
Ba3 0.500 0.000 0.467
Ba4 0.500 0.500 0.761
Ag1 0.000 0.000 0.686
Ag2 0.000 0.500 0.550
Ag3 0.500 0.500 0.058
Pt1 0.500 0.000 0.197



[2]
# PBE Fe2Ir, optimized geometry
# Total magnetization in μB/cell: 5.9
# Mass density in kg/m³: 12750
# Uncorrected energy in eV for the cell shown: -25.6
data_Fe2Ir
_space_group_name_H-M_alt 'P -3 m 1'
_space_group_IT_number 164
_space_group_name_Hall '-P 3 2"'
_cell_length_a 2.7123
_cell_length_b 2.7123
_cell_length_c 6.2124
_cell_angle_alpha 90.00
_cell_angle_beta 90.00
_cell_angle_gamma 120.00
loop_
_atom_site_label
_atom_site_fract_x
_atom_site_fract_y
_atom_site_fract_z
Fe1 0.3333 0.6667 0.1572
Ir1 0.0000 0.0000 0.5000



[3]
# PBE NaAc2Sb, optimized geometry
# Distance to the lowest polymorph of the same formula in meV per atom: 98.5
# Total magnetization in μB/cell: 2.8
# Mass density in kg/m³: 7109
# Uncorrected energy in eV for the cell shown: -60.0
data_NaAc2Sb
_space_group_name_H-M_alt 'F m -3 m'
_space_group_IT_number 225
_space_group_name_Hall '-F 4 2 3'
_cell_length_a 8.240
_cell_length_b 8.240
_cell_length_c 8.240
_cell_angle_alpha 90.00
_cell_angle_beta 90.00
_cell_angle_gamma 90.00
loop_
_atom_site_label
_atom_site_fract_x
_atom_site_fract_y
_atom_site_fract_z
Na1 0.000 0.000 0.000
Ac1 0.250 0.250 0.250
Sb1 0.000 0.000 0.500



[4]
# PBE Na2Zr2As, optimized geometry
# Distance to the lowest polymorph of the same formula in meV per atom: 185.0
# Total magnetization in μB/cell: 0.0
# Mass density in kg/m³: 4329
# Uncorrected energy in eV for the cell shown: -46.5
data_Na2Zr2As
_space_group_name_H-M_alt 'I 4/m m m'
_space_group_IT_number 139
_space_group_name_Hall '-I 4 2'
_cell_length_a 3.580
_cell_length_b 3.580
_cell_length_c 18.152
_cell_angle_alpha 90.00
_cell_angle_beta 90.00
_cell_angle_gamma 90.00
loop_
_atom_site_label
_atom_site_fract_x
_atom_site_fract_y
_atom_site_fract_z
Na1 0.000 0.500 0.250
Zr1 0.000 0.000 0.080
As1 0.000 0.000 0.500



Which formula does entry 2 have? Fe2Ir



Repeat the second record exactly.
# PBE Fe2Ir, optimized geometry
# Total magnetization in μB/cell: 5.9
# Mass density in kg/m³: 12750
# Uncorrected energy in eV for the cell shown: -25.6
data_Fe2Ir
_space_group_name_H-M_alt 'P -3 m 1'
_space_group_IT_number 164
_space_group_name_Hall '-P 3 2"'
_cell_length_a 2.7123
_cell_length_b 2.7123
_cell_length_c 6.2124
_cell_angle_alpha 90.00
_cell_angle_beta 90.00
_cell_angle_gamma 120.00
loop_
_atom_site_label
_atom_site_fract_x
_atom_site_fract_y
_atom_site_fract_z
Fe1 0.3333 0.6667 0.1572
Ir1 0.0000 0.0000 0.5000